This record from Alexandria describes a relaxed structure of Na2VBO5. The functional is PBE with a Hubbard U.

Output
- Space-group type: Cmc2_1
- Uncorrected energy: -117.9 eV for the cell shown

a b c (Å): 2.863 6.795 10.667
angles (deg): 90.00 90.00 102.16
Fractional positions:
1 Na 0.881 0.761 0.837
2 Na 0.066 0.132 0.651
3 Na 0.119 0.239 0.337
4 Na 0.934 0.868 0.151
5 V 0.793 0.586 0.544
6 V 0.207 0.414 0.044
7 B 0.572 0.143 0.910
8 B 0.428 0.857 0.410
9 O 0.333 0.665 0.017
10 O 0.685 0.371 0.914
11 O 0.518 0.035 0.804
12 O 0.309 0.617 0.655
13 O 0.942 0.885 0.493
14 O 0.667 0.335 0.517
15 O 0.315 0.629 0.414
16 O 0.482 0.965 0.304
17 O 0.691 0.383 0.155
18 O 0.058 0.115 0.993